Here is a geometry-optimized BaTe2AuI structure from Alexandria. Energies are from PBE.

The space group is P4/mmm (No. 123) and the conventional cell measures 5.591, 5.591 and 5.723 Å, with angles of 90.00, 90.00 and 90.00 degrees. Symmetry generates all atoms from Ba at (0.000, 0.000, 0.000), Te at (0.000, 0.500, 0.500), Au at (0.500, 0.500, 0.500) and I at (0.500, 0.500, 0.000).

The value obtained for the uncorrected formation energy is -0.6243 eV per atom.


Here is a geometry-optimized LaDyScZn structure from Alexandria. Energies are from PBE.

The space group is F-43m (No. 216) and the conventional cell measures 7.528, 7.528 and 7.528 Å, with angles of 90.00, 90.00 and 90.00 degrees. Symmetry generates all atoms from La at (0.000, 0.000, 0.000), Dy at (0.000, 0.000, 0.500), Sc at (0.250, 0.250, 0.250) and Zn at (0.250, 0.250, 0.750).

Its formation energy is -0.011 eV per atom.


Here is a geometry-optimized HfNiIN2 structure from Alexandria. Energies are from PBE.

The space group is P4/mmm (No. 123) and the conventional cell measures 4.057, 4.057 and 6.146 Å, with angles of 90.00, 90.00 and 90.00 degrees. Symmetry generates all atoms from Hf at (0.000, 0.000, 0.000), Ni at (0.500, 0.500, 0.500), I at (0.000, 0.000, 0.500) and N at (0.000, 0.500, 0.000).

The value obtained for the uncorrected formation energy is 0.6019 eV per atom.


| no. | energy (eV/atom) | M_tot (μB/f.u.) |
| --- | --- | --- |
| 1 | -3.231 | 0.00 |
| 2 | -4.295 | 0.02 |
| 3 | -6.185 | 1.32 |